Compound: Hg2IrRu
Source: Alexandria
Functional: GGA-PBE
Structure: relaxed

Summary:
M_tot, μB/f.u.: 0.78
Uncorrected energy, eV for the cell shown: -16.37
E above lowest polymorph, eV/f.u.: 1.14

a = 4.939 Å, b = 2.933 Å, c = 5.147 Å
α = 90.00°, β = 111.06°, γ = 90.00°
Positions (direct):
1 Hg 0.000 0.000 0.000
2 Hg 0.000 0.500 0.500
3 Ir 0.500 0.000 0.500
4 Ru 0.500 0.500 0.000